Material: MgCdAg
Method: DFT, PBE
State: optimized geometry

Results
Formation energy = -0.1076 eV per atom
DFT total energy = -1.895 eV/atom
M_tot = 0.000 μB/atom
Polymorph energy (0 for the lowest one) = 0.047 eV/atom
N(E_F) = 0.72 states/eV/f.u.

Cell lengths 4.7812, 4.7812, 3.0137 Å; angles 90.00, 90.00, 120.00 degrees
With the nearest neighbours (Å) after each atom.
Space group P3m1 (No. 156)
Inequivalent atoms, fractional coordinates:
Mg (0.0000, 0.0000, 0.0000) x1  3 Ag 2.97, 2 Mg 3.01, 6 Cd 3.03-3.28
Cd (0.3333, 0.6667, 0.5860) x1  3 Ag 2.84, 2 Cd 3.01, 3 Mg 3.03
Ag (0.6667, 0.3333, 0.3660) x1  3 Cd 2.84, 3 Mg 2.97, 2 Ag 3.01